# 1
{"formula": "LaTc2", "functional": "PBE-GGA", "state": "relaxed", "cell": [[5.572, 2.489, 4.211], [-6.352, 1.644, -3.453], [-2.279, -1.102, 3.668]], "species": ["La", "La", "Tc", "Tc", "Tc", "Tc"], "frac_coords": [[0.583, 0.417, 0.750], [0.417, 0.583, 0.250], [0.750, 0.250, 0.250], [0.250, 0.750, 0.750], [0.163, 0.837, 0.250], [0.837, 0.163, 0.750]], "relative_energy_ev_per_atom": 0.144, "m_tot_mub_per_fu": 0.00, "spacegroup": "Cmcm, No. 63"}


# 2
{"formula": "LaTc", "functional": "PBE-GGA", "state": "relaxed", "cell": [[-3.408, 2.388, 2.242], [0.013, -2.838, 3.042], [5.365, 1.660, 1.526]], "species": ["La", "La", "Tc", "Tc"], "frac_coords": [[0.149, 0.250, 0.295], [0.851, 0.750, 0.705], [0.436, 0.250, 0.890], [0.564, 0.750, 0.110]], "relative_energy_ev_per_atom": 0.084, "m_tot_mub_per_fu": 0.00, "spacegroup": "P2_1/m, No. 11"}


# 3
{"formula": "LaTc", "functional": "PBE-GGA", "state": "relaxed", "cell": [[-0.435, 3.321, 2.413], [-2.583, 3.026, -1.100], [-3.508, 0.583, 2.097]], "species": ["Tc", "La"], "frac_coords": [[0.500, 0.500, 0.500], [0.000, 0.000, 0.000]], "relative_energy_ev_per_atom": 0.880, "m_tot_mub_per_fu": 1.35, "spacegroup": "Fm-3m, No. 225"}


# 4
{"formula": "LaTc", "functional": "PBE-GGA", "state": "relaxed", "cell": [[1.594, 5.249, 0.036], [-1.594, 5.249, 0.036], [0.000, 2.748, 8.520]], "species": ["La", "La", "La", "Tc", "Tc", "Tc"], "frac_coords": [[0.344, 0.344, 0.446], [0.666, 0.666, 0.201], [0.967, 0.967, 0.983], [0.949, 0.949, 0.670], [0.647, 0.647, 0.688], [0.259, 0.259, 0.846]], "relative_energy_ev_per_atom": 0.260, "m_tot_mub_per_fu": 0.00, "spacegroup": "Cm, No. 8"}


# 5
{"formula": "LaTc2", "functional": "PBE-GGA", "state": "relaxed", "cell": [[-10.727, 0.957, -0.779], [10.518, -1.099, -2.182], [-0.378, -4.053, 0.221]], "species": ["Tc", "Tc", "Tc", "Tc", "La", "La"], "frac_coords": [[0.963, 0.037, 0.250], [0.574, 0.426, 0.250], [0.037, 0.963, 0.750], [0.426, 0.574, 0.750], [0.678, 0.322, 0.750], [0.322, 0.678, 0.250]], "relative_energy_ev_per_atom": 0.293, "m_tot_mub_per_fu": 0.00, "spacegroup": "Cmcm, No. 63"}


# 6
{"formula": "LaTc2", "functional": "PBE-GGA", "state": "relaxed", "cell": [[-2.919, 0.497, -0.001], [-0.794, -4.663, 0.866], [0.234, 1.392, 7.713]], "species": ["Tc", "Tc", "Tc", "Tc", "La", "La"], "frac_coords": [[0.759, 0.000, 0.648], [0.741, 0.500, 0.148], [0.259, 0.500, 0.852], [0.241, 0.000, 0.352], [0.500, 0.500, 0.500], [0.000, 0.000, 0.000]], "relative_energy_ev_per_atom": 0.523, "m_tot_mub_per_fu": 0.00, "spacegroup": "Pnnm, No. 58"}


# 7
{"formula": "La5Tc", "functional": "PBE-GGA", "state": "relaxed", "cell": [[-2.919, -0.213, 2.546], [4.891, -3.467, 2.363], [4.168, 5.068, 5.202]], "species": ["La", "La", "La", "La", "La", "Tc"], "frac_coords": [[0.018, 0.037, 0.428], [0.694, 0.389, 0.611], [0.072, 0.145, 0.994], [0.317, 0.633, 0.228], [0.370, 0.741, 0.795], [0.695, 0.389, 0.111]], "relative_energy_ev_per_atom": 0.000, "m_tot_mub_per_fu": 0.00, "spacegroup": "C2/m, No. 12"}


# 8
{"formula": "LaTc", "functional": "PBE-GGA", "state": "relaxed", "cell": [[1.682, 6.127, 0.009], [-1.682, 6.127, 0.009], [0.000, 1.983, 6.623]], "species": ["La", "La", "La", "Tc", "Tc", "Tc"], "frac_coords": [[0.348, 0.348, 0.763], [0.037, 0.037, 0.940], [0.358, 0.358, 0.305], [0.077, 0.077, 0.413], [0.670, 0.670, 0.597], [0.676, 0.676, 0.148]], "relative_energy_ev_per_atom": 0.191, "m_tot_mub_per_fu": 0.00, "spacegroup": "Cm, No. 8"}